# PBE-GGA Pr4DyHo2Er2, relaxed
data_Pr4DyHo2Er2
_space_group_name_H-M_alt 'P 1'
_space_group_IT_number 1
_cell_length_a 5.094
_cell_length_b 8.073
_cell_length_c 8.064
_cell_angle_alpha 107.40
_cell_angle_beta 90.00
_cell_angle_gamma 108.39
loop_
_space_group_symop_operation_xyz
'x,y,z'
loop_
_atom_site_label
_atom_site_type_symbol
_atom_site_fract_x
_atom_site_fract_y
_atom_site_fract_z
Pr1 Pr 0.777 0.554 0.668
Pr2 Pr 0.223 0.446 0.332
Pr3 Pr 0.553 0.107 0.330
Pr4 Pr 0.447 0.893 0.670
Dy1 Dy 0.000 0.000 0.000
Ho1 Ho 0.332 0.665 0.000
Ho2 Ho 0.668 0.335 0.000
Er1 Er 0.889 0.777 0.330
Er2 Er 0.111 0.223 0.670
# Space group: C2/m (12)
# Spin magnetization (μB/cell): 0.00
# DOS(E_F) (states/eV/atom): 1.5034


# PBE-GGA ScTcSe2, relaxed
data_ScTcSe2
_space_group_name_H-M_alt 'P 1'
_space_group_IT_number 1
_cell_length_a 3.518
_cell_length_b 3.518
_cell_length_c 6.370
_cell_angle_alpha 90.00
_cell_angle_beta 90.00
_cell_angle_gamma 90.00
loop_
_space_group_symop_operation_xyz
'x,y,z'
loop_
_atom_site_label
_atom_site_type_symbol
_atom_site_fract_x
_atom_site_fract_y
_atom_site_fract_z
Sc1 Sc 0.500 0.500 0.767
Se1 Se 0.000 0.000 0.910
Se2 Se 0.500 0.500 0.339
Tc1 Tc 0.000 0.000 0.484
# Space group: P4mm (99)
# Spin magnetization (μB/cell): 1.45
# DOS(E_F) (states/eV/atom): 0.8832
# Energy relative to the elements, uncorrected (eV per atom): -0.698


# PBE-GGA Na2SnBi5, relaxed
data_Na2SnBi5
_space_group_name_H-M_alt 'P 1'
_space_group_IT_number 1
_cell_length_a 6.967
_cell_length_b 6.967
_cell_length_c 6.969
_cell_angle_alpha 119.64
_cell_angle_beta 119.64
_cell_angle_gamma 90.77
loop_
_space_group_symop_operation_xyz
'x,y,z'
loop_
_atom_site_label
_atom_site_type_symbol
_atom_site_fract_x
_atom_site_fract_y
_atom_site_fract_z
Na1 Na 0.653 0.153 0.500
Na2 Na 0.153 0.653 0.500
Sn1 Sn 0.154 0.154 0.000
Bi1 Bi 0.153 0.653 0.000
Bi2 Bi 0.653 0.653 0.500
Bi3 Bi 0.153 0.153 0.500
Bi4 Bi 0.653 0.153 0.000
Bi5 Bi 0.653 0.653 0.000
# Space group: Cm (8)
# Spin magnetization (μB/cell): 0.00
# DOS(E_F) (states/eV/atom): 0.2655


# PBE-GGA NdMg2Zn9, relaxed
data_NdMg2Zn9
_space_group_name_H-M_alt 'P 1'
_space_group_IT_number 1
_cell_length_a 5.335
_cell_length_b 5.335
_cell_length_c 8.965
_cell_angle_alpha 72.69
_cell_angle_beta 72.69
_cell_angle_gamma 60.00
loop_
_space_group_symop_operation_xyz
'x,y,z'
loop_
_atom_site_label
_atom_site_type_symbol
_atom_site_fract_x
_atom_site_fract_y
_atom_site_fract_z
Nd1 Nd 0.000 0.000 0.000
Mg1 Mg 0.859 0.859 0.424
Mg2 Mg 0.141 0.141 0.576
Zn1 Zn 0.666 0.666 0.001
Zn2 Zn 0.334 0.334 0.999
Zn3 Zn 0.500 0.500 0.500
Zn4 Zn 0.411 0.411 0.257
Zn5 Zn 0.920 0.411 0.257
Zn6 Zn 0.411 0.920 0.257
Zn7 Zn 0.589 0.589 0.743
Zn8 Zn 0.589 0.080 0.743
Zn9 Zn 0.080 0.589 0.743
# Space group: R-3m (166)
# Spin magnetization (μB/cell): 0.00
# DOS(E_F) (states/eV/atom): 0.3571


# PBE-GGA BiTePd, relaxed
data_BiTePd
_space_group_name_H-M_alt 'P 1'
_space_group_IT_number 1
_cell_length_a 4.208
_cell_length_b 4.208
_cell_length_c 5.161
_cell_angle_alpha 90.00
_cell_angle_beta 90.00
_cell_angle_gamma 120.00
loop_
_space_group_symop_operation_xyz
'x,y,z'
loop_
_atom_site_label
_atom_site_type_symbol
_atom_site_fract_x
_atom_site_fract_y
_atom_site_fract_z
Te1 Te 0.000 0.000 0.083
Bi1 Bi 0.333 0.667 0.595
Pd1 Pd 0.667 0.333 0.323
# Space group: P3m1 (156)
# Spin magnetization (μB/cell): 0.00
# DOS(E_F) (states/eV/atom): 0.4589
# Energy relative to the elements, uncorrected (eV per atom): -0.297


# PBE-GGA CaSb2Pd3, relaxed
data_CaSb2Pd3
_space_group_name_H-M_alt 'P 1'
_space_group_IT_number 1
_cell_length_a 4.581
_cell_length_b 9.605
_cell_length_c 6.760
_cell_angle_alpha 120.24
_cell_angle_beta 90.00
_cell_angle_gamma 103.80
loop_
_space_group_symop_operation_xyz
'x,y,z'
loop_
_atom_site_label
_atom_site_type_symbol
_atom_site_fract_x
_atom_site_fract_y
_atom_site_fract_z
Ca1 Ca 0.880 0.760 0.921
Ca2 Ca 0.120 0.240 0.079
Sb1 Sb 0.485 0.971 0.749
Sb2 Sb 0.515 0.029 0.251
Sb3 Sb 0.769 0.538 0.234
Sb4 Sb 0.231 0.462 0.766
Pd1 Pd 0.307 0.615 0.526
Pd2 Pd 0.931 0.861 0.537
Pd3 Pd 0.638 0.277 0.784
Pd4 Pd 0.362 0.723 0.216
Pd5 Pd 0.069 0.139 0.463
Pd6 Pd 0.693 0.385 0.474
# Space group: C2/m (12)
# Spin magnetization (μB/cell): 0.00
# DOS(E_F) (states/eV/atom): 0.4623
# Energy relative to the elements, uncorrected (eV per atom): -0.672


Number 1: uncorrected energy -4.64 eV per atom. Number 2: uncorrected energy -6.62 eV per atom. Number 3: uncorrected energy -3.38 eV per atom. Number 4: uncorrected energy -1.82 eV per atom. Number 5: uncorrected energy -4.37 eV per atom. Number 6: uncorrected energy -4.98 eV per atom.